! PBE KPdF2, optimized geometry; values from VASP
! * energy relative to the elements, uncorrected: -1.63 eV/atom
&SYSTEM
  ibrav = 0, nat = 4, ntyp = 3
/
ATOMIC_SPECIES
Pd 106.42 Pd.upf
F 19.00 F.upf
K 39.10 K.upf
CELL_PARAMETERS angstrom
2.011 0.000 7.183
-1.005 1.742 7.183
-1.005 -1.742 7.183
ATOMIC_POSITIONS angstrom
Pd 0.000 0.000 0.000
F 0.000 0.000 19.540
F 0.000 0.000 2.008
K 0.000 0.000 10.774